# ErTaCuRu | Alexandria | GGA-PBE | relaxed
# DFT total energy: -30.20 eV/cell
# V: 17.5 Å³/atom
# Energy of formation: -0.103 eV per atom
# Total magnetic moment: 0.0 μB per formula unit
# SG: F-43m, No. 216
data_ErTaCuRu
_space_group_name_H-M_alt 'P 1'
_space_group_IT_number 1
_cell_length_a 4.623
_cell_length_b 4.623
_cell_length_c 4.623
_cell_angle_alpha 60.00
_cell_angle_beta 60.00
_cell_angle_gamma 60.00
loop_
_space_group_symop_operation_xyz
'x,y,z'
loop_
_atom_site_label
_atom_site_type_symbol
_atom_site_fract_x
_atom_site_fract_y
_atom_site_fract_z
_atom_site_occupancy
Er1 Er 0.000 0.000 0.000 1
Ta1 Ta 0.500 0.500 0.500 1
Cu1 Cu 0.750 0.750 0.750 1
Ru1 Ru 0.250 0.250 0.250 1

***

# TbErCuRu | Alexandria | GGA-PBE | relaxed
# DFT total energy: -23.94 eV/cell
# V: 20.1 Å³/atom
# Energy of formation: -0.344 eV per atom
# Total magnetic moment: 0.0 μB per formula unit
# SG: F-43m, No. 216
data_TbErCuRu
_space_group_name_H-M_alt 'P 1'
_space_group_IT_number 1
_cell_length_a 4.844
_cell_length_b 4.844
_cell_length_c 4.844
_cell_angle_alpha 60.00
_cell_angle_beta 60.00
_cell_angle_gamma 60.00
loop_
_space_group_symop_operation_xyz
'x,y,z'
loop_
_atom_site_label
_atom_site_type_symbol
_atom_site_fract_x
_atom_site_fract_y
_atom_site_fract_z
_atom_site_occupancy
Tb1 Tb 0.000 0.000 0.000 1
Er1 Er 0.500 0.500 0.500 1
Cu1 Cu 0.750 0.750 0.750 1
Ru1 Ru 0.250 0.250 0.250 1

***

Copy entry 2 word for word.
# TbErCuRu | Alexandria | GGA-PBE | relaxed
# DFT total energy: -23.94 eV/cell
# V: 20.1 Å³/atom
# Energy of formation: -0.344 eV per atom
# Total magnetic moment: 0.0 μB per formula unit
# SG: F-43m, No. 216
data_TbErCuRu
_space_group_name_H-M_alt 'P 1'
_space_group_IT_number 1
_cell_length_a 4.844
_cell_length_b 4.844
_cell_length_c 4.844
_cell_angle_alpha 60.00
_cell_angle_beta 60.00
_cell_angle_gamma 60.00
loop_
_space_group_symop_operation_xyz
'x,y,z'
loop_
_atom_site_label
_atom_site_type_symbol
_atom_site_fract_x
_atom_site_fract_y
_atom_site_fract_z
_atom_site_occupancy
Tb1 Tb 0.000 0.000 0.000 1
Er1 Er 0.500 0.500 0.500 1
Cu1 Cu 0.750 0.750 0.750 1
Ru1 Ru 0.250 0.250 0.250 1